The following is a DFT calculation (PBE) of a geometry-optimized CoBAsI2 structure.

Results
* energy relative to the elements, uncorrected: 1.250 eV per atom

Geometry as extended XYZ:
```
5
Lattice="5.3192 0.0000 0.0000 0.0000 4.0403 0.0000 0.0000 0.0000 5.3192" Properties=species:S:1:pos:R:3 pbc="T T T"
I 0.0000 0.0000 2.6596
I 2.6596 0.0000 0.0000
As 0.0000 2.0202 0.0000
Co 2.6596 2.0202 2.6596
B 0.0000 0.0000 0.0000
```